(1)
## Hf3Ge (PBE)

Data for Hf3Ge after structural relaxation.

Cell lengths 4.303, 4.303, 4.303 Å; angles 90.00, 90.00, 90.00 degrees
Fractional coordinates of all 4 atoms:
Hf 0.000 0.000 0.500
Hf 0.000 0.500 0.000
Hf 0.500 0.000 0.000
Ge 0.500 0.500 0.500

Values from the calculation:
E: -35.5 eV for the cell shown
total magnetization: 0.00 μB per formula unit

(2)
## HfGe (PBE)

Data for HfGe after structural relaxation.

Cell lengths 4.311, 4.311, 4.311 Å; angles 60.00, 60.00, 60.00 degrees
Fractional coordinates of all 2 atoms:
Hf 0.000 0.000 0.000
Ge 0.250 0.250 0.250

Values from the calculation:
E: -13.9 eV for the cell shown
total magnetization: 0.00 μB per formula unit

(3)
## Hf2Ge (PBE)

Data for Hf2Ge after structural relaxation.

Cell lengths 5.599, 5.599, 5.599 Å; angles 102.21, 102.21, 125.24 degrees
Fractional coordinates of all 6 atoms:
Hf 0.149 0.649 0.798
Hf 0.351 0.149 0.500
Hf 0.649 0.851 0.500
Hf 0.851 0.351 0.202
Ge 0.000 0.000 0.000
Ge 0.500 0.500 0.000

Values from the calculation:
E: -49.2 eV for the cell shown
total magnetization: 0.00 μB per formula unit

(4)
## Hf3Ge (PBE)

Data for Hf3Ge after structural relaxation.

Cell lengths 5.773, 5.773, 5.773 Å; angles 148.05, 64.46, 125.63 degrees
Fractional coordinates of all 4 atoms:
Hf 0.000 0.000 0.000
Hf 0.133 0.368 0.765
Hf 0.604 0.368 0.235
Ge 0.536 0.036 0.500

Values from the calculation:
E: -35.3 eV for the cell shown
total magnetization: 0.00 μB per formula unit

Which of these has the lowest E?
Hf2Ge

The highest E belongs to which entry?
HfGe

Which formula does entry 1 have?
Hf3Ge

Copy entry 2 word for word.
## HfGe (PBE)

Data for HfGe after structural relaxation.

Cell lengths 4.311, 4.311, 4.311 Å; angles 60.00, 60.00, 60.00 degrees
Fractional coordinates of all 2 atoms:
Hf 0.000 0.000 0.000
Ge 0.250 0.250 0.250

Values from the calculation:
E: -13.9 eV for the cell shown
total magnetization: 0.00 μB per formula unit